# 1
Computed, not measured: Mn2SiW after structural relaxation at the PBE level of DFT.

Geometry as CIF:
```
data_Mn2SiW
_space_group_name_H-M_alt 'P 1'
_space_group_IT_number 1
_cell_length_a 2.6697
_cell_length_b 2.6697
_cell_length_c 7.2809
_cell_angle_alpha 90.00
_cell_angle_beta 90.00
_cell_angle_gamma 99.62
loop_
_space_group_symop_operation_xyz
'x,y,z'
loop_
_atom_site_label
_atom_site_fract_x
_atom_site_fract_y
_atom_site_fract_z
_atom_site_occupancy
Mn1 0.0000 0.0000 0.0293 1
Mn2 0.0000 0.0000 0.4707 1
Si1 0.5000 0.5000 0.2500 1
W1 0.5000 0.5000 0.7500 1
```

Results
Its crystal system is orthorhombic. The space group is Cmmm (65). As for the uncorrected formation energy: -0.072 eV/atom.

=====

# 2
Computed, not measured: YTe2NCl after structural relaxation at the PBE level of DFT.

Geometry as CIF:
```
data_YTe2NCl
_space_group_name_H-M_alt 'P 1'
_space_group_IT_number 1
_cell_length_a 5.3676
_cell_length_b 5.3676
_cell_length_c 4.1860
_cell_angle_alpha 90.00
_cell_angle_beta 90.00
_cell_angle_gamma 90.00
loop_
_space_group_symop_operation_xyz
'x,y,z'
loop_
_atom_site_label
_atom_site_fract_x
_atom_site_fract_y
_atom_site_fract_z
_atom_site_occupancy
Y1 0.5000 0.5000 0.5000 1
N1 0.0000 0.0000 0.5000 1
Te1 0.0000 0.5000 0.0000 1
Te2 0.5000 0.0000 0.0000 1
Cl1 0.0000 0.0000 0.0000 1
```

Results
Its crystal system is tetragonal. The space group is P4/mmm (123). As for the uncorrected formation energy: 0.626 eV/atom.

=====

# 3
Computed, not measured: Mo3W after structural relaxation at the PBE level of DFT.

Geometry as CIF:
```
data_Mo3W
_space_group_name_H-M_alt 'P 1'
_space_group_IT_number 1
_cell_length_a 2.7422
_cell_length_b 2.7422
_cell_length_c 8.9799
_cell_angle_alpha 90.00
_cell_angle_beta 90.00
_cell_angle_gamma 109.33
loop_
_space_group_symop_operation_xyz
'x,y,z'
loop_
_atom_site_label
_atom_site_fract_x
_atom_site_fract_y
_atom_site_fract_z
_atom_site_occupancy
Mo1 0.0000 0.0000 0.9995 1
Mo2 0.5000 0.5000 0.7500 1
Mo3 0.0000 0.0000 0.5005 1
W1 0.5000 0.5000 0.2500 1
```

Results
Its crystal system is orthorhombic. The energy of formation from the pure elements is -0.0069 eV per atom. The space group is Cmmm (65).

=====

# 4
Computed, not measured: GaAg2S after structural relaxation at the PBE level of DFT.

Geometry as CIF:
```
data_GaAg2S
_space_group_name_H-M_alt 'P 1'
_space_group_IT_number 1
_cell_length_a 4.7089
_cell_length_b 4.7089
_cell_length_c 4.7089
_cell_angle_alpha 60.00
_cell_angle_beta 60.00
_cell_angle_gamma 60.00
loop_
_space_group_symop_operation_xyz
'x,y,z'
loop_
_atom_site_label
_atom_site_fract_x
_atom_site_fract_y
_atom_site_fract_z
_atom_site_occupancy
S1 0.0000 0.0000 0.0000 1
Ga1 0.5000 0.5000 0.5000 1
Ag1 0.2500 0.2500 0.2500 1
Ag2 0.7500 0.7500 0.7500 1
```

Results
Its crystal system is cubic. The space group is Fm-3m (225). As for the uncorrected formation energy: 0.105 eV/atom.